Entry 1:
! InMo3Se3 | Alexandria | GGA-PBEsol | relaxed; values from VASP
&SYSTEM
  ibrav = 0, nat = 14, ntyp = 3
/
ATOMIC_SPECIES
In 114.82 In.upf
Mo 95.94 Mo.upf
Se 78.96 Se.upf
CELL_PARAMETERS angstrom
8.732 0.000 0.000
-4.366 7.562 0.000
0.000 0.000 4.476
ATOMIC_POSITIONS angstrom
In 0.000 5.042 1.119
In 4.366 2.521 3.357
Mo -3.382 6.398 1.119
Mo 0.516 1.435 1.119
Mo 1.501 0.270 3.357
Mo 2.865 7.292 1.119
Mo 3.850 6.128 3.357
Mo 7.748 1.165 3.357
Se -2.414 5.280 3.357
Se 1.001 2.832 3.357
Se 2.953 0.549 1.119
Se 1.413 7.013 3.357
Se 3.365 4.731 1.119
Se 6.781 2.283 1.119
! D(E_F) = 1.436 states/eV per cell
! Volume = 21.1 Å³ per atom
! SG = P6_3/m
! E_form (uncorrected) = -0.440 eV per atom



Entry 2:
! InMo6Se8 | Alexandria | GGA-PBEsol | relaxed; values from VASP
&SYSTEM
  ibrav = 0, nat = 15, ntyp = 3
/
ATOMIC_SPECIES
In 114.82 In.upf
Mo 95.94 Mo.upf
Se 78.96 Se.upf
CELL_PARAMETERS angstrom
4.706 2.717 3.973
-4.706 2.717 3.973
0.000 -5.435 3.973
ATOMIC_POSITIONS angstrom
In 0.000 0.000 0.000
Mo -0.875 -1.267 4.835
Mo -0.660 1.391 4.834
Mo -1.535 0.124 7.086
Mo 1.535 -0.124 4.834
Mo 0.660 -1.391 7.086
Mo 0.875 1.267 7.086
Se -2.971 0.287 4.977
Se 0.000 0.000 2.870
Se -1.734 -2.430 6.944
Se 1.237 -2.717 4.977
Se -1.237 2.717 6.944
Se 1.734 2.430 4.977
Se 0.000 0.000 9.051
Se 2.971 -0.287 6.944
! D(E_F) = 9.399 states/eV per cell
! Volume = 20.3 Å³ per atom
! SG = R-3
! E_form (uncorrected) = -0.518 eV per atom